1.
A plane-wave DFT calculation with PBE was carried out for an optimized crystal structure of CaNdInCu.

Computed properties:
**Total DFT energy (no corrections)**: -3.6741 eV/atom
**SG**: No. 216

Structure (CIF):
```
data_CaNdInCu
_cell_length_a 5.2922
_cell_length_b 5.2922
_cell_length_c 5.2922
_cell_angle_alpha 60.00
_cell_angle_beta 60.00
_cell_angle_gamma 60.00
_symmetry_space_group_name_H-M 'P 1'
_symmetry_Int_Tables_number 1
_symmetry_space_group_name_Hall 'P 1'
loop_
_atom_site_label
_atom_site_fract_x
_atom_site_fract_y
_atom_site_fract_z
Ca1 0.5000 0.5000 0.5000
Nd1 0.0000 0.0000 0.0000
Cu1 0.2500 0.2500 0.2500
In1 0.7500 0.7500 0.7500
```

2.
A plane-wave DFT calculation with PBE was carried out for an optimized crystal structure of La2Ga7Rh.

Computed properties:
**Total DFT energy (no corrections)**: -4.4359 eV/atom
**SG**: No. 115

Structure (CIF):
```
data_La2Ga7Rh
_cell_length_a 4.3338
_cell_length_b 4.3338
_cell_length_c 10.7166
_cell_angle_alpha 90.00
_cell_angle_beta 90.00
_cell_angle_gamma 90.00
_symmetry_space_group_name_H-M 'P 1'
_symmetry_Int_Tables_number 1
_symmetry_space_group_name_Hall 'P 1'
loop_
_atom_site_label
_atom_site_fract_x
_atom_site_fract_y
_atom_site_fract_z
La1 0.5000 0.0000 0.7543
La2 0.0000 0.5000 0.2457
Ga1 0.0000 0.5000 0.8751
Ga2 0.5000 0.0000 0.3615
Ga3 0.5000 0.0000 0.1249
Ga4 0.0000 0.5000 0.6385
Ga5 0.0000 0.0000 0.5000
Ga6 0.0000 0.0000 0.0000
Ga7 0.5000 0.5000 0.5000
Rh1 0.5000 0.5000 0.0000
```

3.
A plane-wave DFT calculation with PBE was carried out for an optimized crystal structure of Pm4Dy3.

Computed properties:
**SG**: No. 12
**Distance to the lowest polymorph of the same formula**: 10.9 kJ per mole of atoms

Structure (CIF):
```
data_Pm4Dy3
_cell_length_a 3.5125
_cell_length_b 8.8194
_cell_length_c 9.2672
_cell_angle_alpha 123.00
_cell_angle_beta 100.92
_cell_angle_gamma 90.00
_symmetry_space_group_name_H-M 'P 1'
_symmetry_Int_Tables_number 1
_symmetry_space_group_name_Hall 'P 1'
loop_
_atom_site_label
_atom_site_fract_x
_atom_site_fract_y
_atom_site_fract_z
Pm1 0.0792 0.4540 0.1583
Pm2 0.9208 0.5460 0.8417
Pm3 0.3618 0.1314 0.7236
Pm4 0.6382 0.8686 0.2764
Dy1 0.0000 0.0000 0.0000
Dy2 0.2210 0.2970 0.4420
Dy3 0.7790 0.7030 0.5580
```

4.
A plane-wave DFT calculation with PBE was carried out for an optimized crystal structure of LiEr2Ga.

Computed properties:
**SG**: No. 123
**Distance to the lowest polymorph of the same formula**: 1.9 kJ per mole of atoms

Structure (CIF):
```
data_LiEr2Ga
_cell_length_a 3.6897
_cell_length_b 4.9800
_cell_length_c 4.9800
_cell_angle_alpha 90.00
_cell_angle_beta 90.00
_cell_angle_gamma 90.00
_symmetry_space_group_name_H-M 'P 1'
_symmetry_Int_Tables_number 1
_symmetry_space_group_name_Hall 'P 1'
loop_
_atom_site_label
_atom_site_fract_x
_atom_site_fract_y
_atom_site_fract_z
Li1 0.5000 0.5000 0.5000
Ga1 0.5000 0.0000 0.0000
Er1 0.0000 0.0000 0.5000
Er2 0.0000 0.5000 0.0000
```

5.
A plane-wave DFT calculation with PBE was carried out for an optimized crystal structure of TaIF2.

Computed properties:
**ΔE_f (raw)**: -1450 meV per atom
**SG**: No. 166
**Distance to the lowest polymorph of the same formula**: 0.0 kJ per mole of atoms

Structure (CIF):
```
data_TaIF2
_cell_length_a 10.9083
_cell_length_b 10.9083
_cell_length_c 10.9083
_cell_angle_alpha 16.78
_cell_angle_beta 16.78
_cell_angle_gamma 16.78
_symmetry_space_group_name_H-M 'P 1'
_symmetry_Int_Tables_number 1
_symmetry_space_group_name_Hall 'P 1'
loop_
_atom_site_label
_atom_site_fract_x
_atom_site_fract_y
_atom_site_fract_z
I1 0.5000 0.5000 0.5000
F1 0.9417 0.9417 0.9417
F2 0.0583 0.0583 0.0583
Ta1 0.0000 0.0000 0.0000
```

6.
A plane-wave DFT calculation with PBE was carried out for an optimized crystal structure of Zr3AlW.

Computed properties:
**SG**: No. 221
**Distance to the lowest polymorph of the same formula**: 0.0 kJ per mole of atoms

Structure (CIF):
```
data_Zr3AlW
_cell_length_a 5.0677
_cell_length_b 5.0677
_cell_length_c 5.0677
_cell_angle_alpha 90.00
_cell_angle_beta 90.00
_cell_angle_gamma 90.00
_symmetry_space_group_name_H-M 'P 1'
_symmetry_Int_Tables_number 1
_symmetry_space_group_name_Hall 'P 1'
loop_
_atom_site_label
_atom_site_fract_x
_atom_site_fract_y
_atom_site_fract_z
Zr1 0.0000 0.5000 0.0000
Zr2 0.0000 0.0000 0.5000
Zr3 0.5000 0.0000 0.0000
W1 0.0000 0.0000 0.0000
Al1 0.5000 0.5000 0.5000
```

7.
A plane-wave DFT calculation with PBE was carried out for an optimized crystal structure of K3HfPt.

Computed properties:
**SG**: No. 221
**Distance to the lowest polymorph of the same formula**: 0.0 kJ per mole of atoms

Structure (CIF):
```
data_K3HfPt
_cell_length_a 6.1166
_cell_length_b 6.1166
_cell_length_c 6.1166
_cell_angle_alpha 90.00
_cell_angle_beta 90.00
_cell_angle_gamma 90.00
_symmetry_space_group_name_H-M 'P 1'
_symmetry_Int_Tables_number 1
_symmetry_space_group_name_Hall 'P 1'
loop_
_atom_site_label
_atom_site_fract_x
_atom_site_fract_y
_atom_site_fract_z
K1 0.0000 0.5000 0.0000
K2 0.0000 0.0000 0.5000
K3 0.5000 0.0000 0.0000
Hf1 0.5000 0.5000 0.5000
Pt1 0.0000 0.0000 0.0000
```

8.
A plane-wave DFT calculation with PBE was carried out for an optimized crystal structure of Ho3Tl.

Computed properties:
**Total DFT energy (no corrections)**: -4.1844 eV/atom
**SG**: No. 63

Structure (CIF):
```
data_Ho3Tl
_cell_length_a 3.6262
_cell_length_b 6.6478
_cell_length_c 10.1692
_cell_angle_alpha 90.00
_cell_angle_beta 90.00
_cell_angle_gamma 105.83
_symmetry_space_group_name_H-M 'P 1'
_symmetry_Int_Tables_number 1
_symmetry_space_group_name_Hall 'P 1'
loop_
_atom_site_label
_atom_site_fract_x
_atom_site_fract_y
_atom_site_fract_z
Ho1 0.4607 0.9213 0.7500
Ho2 0.5393 0.0787 0.2500
Ho3 0.1301 0.2603 0.9681
Ho4 0.8699 0.7397 0.0319
Ho5 0.8699 0.7397 0.4681
Ho6 0.1301 0.2603 0.5319
Tl1 0.7455 0.4911 0.7500
Tl2 0.2545 0.5089 0.2500
```

| no. | size of the total moment (μB/cell) |
| --- | --- |
| 1 | 0.00 |
| 2 | 0.00 |
| 3 | 0.00 |
| 4 | 0.00 |
| 5 | 0.00 |
| 6 | 0.00 |
| 7 | 3.00 |
| 8 | 0.05 |